CrAgAsO4 | Alexandria via LeMat-Bulk | GGA+U | relaxed; spin magnetization = 8.00 μB per cell; total DFT energy (no corrections) = -6.005 eV per atom; space-group type = P2_1/m, No. 11
1.0
5.5852 0.0000 -0.0112
0.0000 5.7956 0.0000
-2.1994 0.0000 6.5988
Cr Ag As O
2 2 2 8
Cartesian
3.2813 4.3467 3.0114 Cr
0.1045 1.4489 3.5763 Cr
0.2486 4.3467 5.6727 Ag
3.1373 1.4489 0.9149 Ag
0.5496 4.3467 2.1426 As
2.8363 1.4489 4.4451 As
3.8970 2.7960 4.5578 O
-0.5112 5.6938 2.0299 O
-0.5112 2.9995 2.0299 O
3.8970 0.1018 4.5578 O
2.0401 4.3467 1.2370 O
1.3457 1.4489 5.3506 O
1.3345 4.3467 3.7204 O
2.0513 1.4489 2.8672 O